This record from the Alexandria database describes a relaxed TcPIrC2 crystal. The functional is GGA-PBEsol.

a = 3.572 Å, b = 3.572 Å, c = 4.785 Å
α = 90.00°, β = 90.00°, γ = 90.00°
Space group P4/mmm (No. 123)
Asymmetric unit:
Tc 0.000 0.000 0.000 x1
P 0.000 0.000 0.500 x1
Ir 0.500 0.500 0.000 x1
C 0.000 0.500 0.500 x2

Values from the calculation:
DOS(E_F): 5.948 states/eV/f.u.
final energy: -36.1 eV/cell
total magnetization: 0.004 μB/atom
crystal system: tetragonal
V: 12.209 Å³/atom

This record from the Alexandria database describes a relaxed P2IrWC crystal. The functional is GGA-PBEsol.

a = 4.006 Å, b = 4.006 Å, c = 3.941 Å
α = 90.00°, β = 90.00°, γ = 90.00°
Space group P4/mmm (No. 123)
Asymmetric unit:
P 0.000 0.500 0.000 x2
Ir 0.000 0.000 0.500 x1
W 0.500 0.500 0.500 x1
C 0.500 0.500 0.000 x1

Values from the calculation:
DOS(E_F): 3.280 states/eV/f.u.
final energy: -40.4 eV/cell
total magnetization: 0.000 μB/atom
crystal system: tetragonal
V: 12.647 Å³/atom